Entry 1:
Compound: Cs2GaAgCl6
Source: Alexandria via LeMat-Bulk
Functional: PBE-GGA
Structure: relaxed Values from VASP.

Output
symmetry = Fm-3m, No. 225
raw formation energy = -1.35 eV per atom
polymorph energy (0 for the lowest one) = 10 meV/atom

```
&SYSTEM
  ibrav = 0, nat = 10, ntyp = 4
/
ATOMIC_SPECIES
Cs 132.91 Cs.upf
Cl 35.45 Cl.upf
Ag 107.87 Ag.upf
Ga 69.72 Ga.upf
CELL_PARAMETERS angstrom
-0.570 6.820 -2.728
-3.214 1.096 -6.538
-6.585 3.284 -0.363
ATOMIC_POSITIONS crystal
Cs 0.250 0.250 0.250
Cs 0.750 0.750 0.750
Cl 0.767 0.767 0.233
Cl 0.767 0.233 0.233
Cl 0.233 0.767 0.233
Cl 0.233 0.767 0.767
Cl 0.233 0.233 0.767
Cl 0.767 0.233 0.767
Ag 0.500 0.500 0.500
Ga 0.000 0.000 0.000
```

Entry 2:
Compound: Pr3Dy4Y2
Source: Alexandria via LeMat-Bulk
Functional: PBE-GGA
Structure: relaxed Values from VASP.

Output
DOS(E_F) = 14.072 states/eV/f.u.
E_form = 1.808 eV per formula unit
symmetry = C2/m, No. 12
polymorph energy (0 for the lowest one) = 104 meV/atom

```
&SYSTEM
  ibrav = 0, nat = 9, ntyp = 3
/
ATOMIC_SPECIES
Dy 162.50 Dy.upf
Y 88.91 Y.upf
Pr 140.91 Pr.upf
CELL_PARAMETERS angstrom
0.901 -2.722 4.287
1.503 -5.795 -0.892
11.650 -1.073 -0.028
ATOMIC_POSITIONS crystal
Dy 0.278 0.341 0.104
Dy 0.853 0.014 0.279
Dy 0.722 0.659 0.896
Dy 0.147 0.986 0.721
Y 0.166 0.243 0.424
Y 0.834 0.757 0.576
Pr 0.448 0.359 0.746
Pr 0.552 0.641 0.254
Pr 0.000 0.000 0.000
```

Entry 3:
Compound: ReTe2Rh
Source: Alexandria via LeMat-Bulk
Functional: PBE-GGA
Structure: relaxed Values from VASP.

Output
DOS(E_F) = 4.746 states/eV/f.u.
symmetry = I-4m2, No. 119
raw formation energy = 0.73 eV per atom
polymorph energy (0 for the lowest one) = 549 meV/atom

```
&SYSTEM
  ibrav = 0, nat = 4, ntyp = 3
/
ATOMIC_SPECIES
Te 127.60 Te.upf
Re 186.21 Re.upf
Rh 102.91 Rh.upf
CELL_PARAMETERS angstrom
3.539 -3.773 1.992
2.337 0.863 4.952
-5.074 0.107 -2.229
ATOMIC_POSITIONS crystal
Te 0.250 0.750 0.500
Te 0.000 0.000 0.000
Re 0.500 0.500 0.000
Rh 0.750 0.250 0.500
```

Entry 4:
Compound: TlW3Cl
Source: Alexandria via LeMat-Bulk
Functional: PBE-GGA
Structure: relaxed Values from VASP.

Output
DOS(E_F) = 3.130 states/eV/f.u.
symmetry = Pm-3m, No. 221
raw formation energy = 1.66 eV per atom
polymorph energy (0 for the lowest one) = 0 meV/atom

```
&SYSTEM
  ibrav = 0, nat = 5, ntyp = 3
/
ATOMIC_SPECIES
W 183.84 W.upf
Tl 204.38 Tl.upf
Cl 35.45 Cl.upf
CELL_PARAMETERS angstrom
4.476 0.000 0.000
0.000 4.476 0.000
0.000 0.000 4.476
ATOMIC_POSITIONS crystal
W 0.000 0.000 0.500
W 0.000 0.500 0.000
W 0.500 0.000 0.000
Tl 0.500 0.500 0.500
Cl 0.000 0.000 0.000
```

Entry 5:
Compound: Tb2Dy8Tl
Source: Alexandria via LeMat-Bulk
Functional: PBE-GGA
Structure: relaxed Values from VASP.

Output
DOS(E_F) = 15.373 states/eV/f.u.
E_form = -0.309 eV per formula unit
symmetry = C2/m, No. 12
polymorph energy (0 for the lowest one) = 0 meV/atom

```
&SYSTEM
  ibrav = 0, nat = 11, ntyp = 3
/
ATOMIC_SPECIES
Dy 162.50 Dy.upf
Tb 158.93 Tb.upf
Tl 204.38 Tl.upf
CELL_PARAMETERS angstrom
-0.255 1.954 5.190
-3.736 -4.950 1.681
7.455 -6.783 -0.049
ATOMIC_POSITIONS crystal
Dy 0.662 0.878 0.324
Dy 0.044 0.732 0.089
Dy 0.956 0.268 0.911
Dy 0.846 0.803 0.692
Dy 0.338 0.122 0.676
Dy 0.154 0.197 0.308
Dy 0.421 0.598 0.843
Dy 0.579 0.402 0.157
Tb 0.243 0.665 0.487
Tb 0.757 0.335 0.513
Tl 0.500 0.000 0.000
```

Entry 6:
Compound: Na2P2Au
Source: Alexandria via LeMat-Bulk
Functional: PBE-GGA
Structure: relaxed Values from VASP.

Output
DOS(E_F) = 3.403 states/eV/f.u.
E_form = 0.825 eV per formula unit
symmetry = I4/mmm, No. 139
polymorph energy (0 for the lowest one) = 480 meV/atom

```
&SYSTEM
  ibrav = 0, nat = 5, ntyp = 3
/
ATOMIC_SPECIES
Na 22.99 Na.upf
P 30.97 P.upf
Au 196.97 Au.upf
CELL_PARAMETERS angstrom
4.259 0.000 0.000
0.000 4.259 0.000
2.129 2.129 5.717
ATOMIC_POSITIONS crystal
Na 0.750 0.250 0.500
Na 0.250 0.750 0.500
P 0.410 0.410 0.179
P 0.590 0.590 0.821
Au 0.000 0.000 0.000
```

Entry 7:
Compound: Pt2C3
Source: Alexandria via LeMat-Bulk
Functional: PBE-GGA
Structure: relaxed Values from VASP.

Output
DOS(E_F) = 3.280 states/eV/f.u.
E_form = 8.536 eV per formula unit
symmetry = R-3m, No. 166
polymorph energy (0 for the lowest one) = 736 meV/atom

```
&SYSTEM
  ibrav = 0, nat = 5, ntyp = 2
/
ATOMIC_SPECIES
C 12.01 C.upf
Pt 195.08 Pt.upf
CELL_PARAMETERS angstrom
-5.205 -2.250 5.819
-5.640 -4.583 3.633
-3.202 -4.778 5.738
ATOMIC_POSITIONS crystal
C 0.757 0.757 0.757
C 0.243 0.243 0.243
C 0.000 0.000 0.000
Pt 0.394 0.394 0.394
Pt 0.606 0.606 0.606
```

Entry 8:
Compound: Ac4Ce
Source: Alexandria via LeMat-Bulk
Functional: PBE-GGA
Structure: relaxed Values from VASP.

Output
DOS(E_F) = 12.158 states/eV/f.u.
E_form = 2.555 eV per formula unit
symmetry = Pm-3m, No. 221

```
&SYSTEM
  ibrav = 0, nat = 5, ntyp = 2
/
ATOMIC_SPECIES
Ce 140.12 Ce.upf
Ac 227.00 Ac.upf
CELL_PARAMETERS angstrom
-5.533 2.579 -0.945
-1.743 -1.655 5.690
2.122 5.363 2.210
ATOMIC_POSITIONS crystal
Ce 0.500 0.500 0.500
Ac 0.500 0.000 0.500
Ac 0.000 0.500 0.500
Ac 0.000 0.000 0.000
Ac 0.500 0.500 0.000
```

Result set for E_tot: -3.213 -4.874 -5.794 -6.952 -4.432 -3.182 -6.243 -3.962 eV per atom, one per record in the order listed.